Entry 1:
First-principles (PBE) data for crystalline ZnSn2Pd2 at its relaxed geometry, as listed in the Alexandria database.

## Properties
- Energy above the most stable polymorph in this dataset: 308 meV/atom
- SG: I4/mmm
- Energy: -3.933 eV per atom

abc: 6.5680 6.5680 6.5680
angles: 140.79 140.79 56.65
With the nearest neighbours (Å) after each atom.
Element x y z (fractional)
Zn  0.0000  0.0000  0.0000  8 Pd 3.39, 8 Sn 3.63
Sn  0.2500  0.7500  0.5000  4 Pd 2.71
Sn  0.7500  0.2500  0.5000  4 Pd 2.71
Pd  0.3857  0.3857  0.0000  1 Pd 2.64, 4 Sn 2.71
Pd  0.6143  0.6143  0.0000  1 Pd 2.64, 4 Sn 2.71

Entry 2:
First-principles (PBE) data for crystalline ZnSnPd6 at its relaxed geometry, as listed in the Alexandria database.

## Properties
- Energy above the most stable polymorph in this dataset: 110 meV/atom
- SG: P-1
- Energy: -4.842 eV per atom

abc: 5.0949 5.1135 5.1272
angles: 93.81 93.79 93.79
With the nearest neighbours (Å) after each atom.
Element x y z (fractional)
Zn  0.0000  0.0000  0.0000  6 Pd 2.64-2.65
Sn  0.5000  0.5000  0.5000  6 Pd 2.69-2.70
Pd  0.0542  0.4357  0.7517  1 Zn 2.65, 8 Pd 2.69-2.96, 1 Sn 2.70
Pd  0.2482  0.9439  0.5668  1 Zn 2.64, 6 Pd 2.69-2.89, 1 Sn 2.69
Pd  0.4354  0.7515  0.0552  1 Zn 2.64, 6 Pd 2.69-2.88, 1 Sn 2.70
Pd  0.5646  0.2485  0.9448  1 Zn 2.64, 6 Pd 2.69-2.88, 1 Sn 2.70
Pd  0.7518  0.0561  0.4332  1 Zn 2.64, 6 Pd 2.69-2.89, 1 Sn 2.69
Pd  0.9458  0.5643  0.2483  1 Zn 2.65, 8 Pd 2.69-2.96, 1 Sn 2.70

Entry 3:
First-principles (PBE) data for crystalline ZnSnPd3 at its relaxed geometry, as listed in the Alexandria database.

## Properties
- Energy above the most stable polymorph in this dataset: 0 meV/atom
- SG: Pnma
- Energy: -4.575 eV per atom

abc: 7.0885 7.6990 6.3390
angles: 90.00 90.00 90.00
With the nearest neighbours (Å) after each atom.
Element x y z (fractional)
Zn  0.0000  0.0000  0.0000  6 Pd 2.57-2.65
Zn  0.0000  0.5000  0.0000  6 Pd 2.57-2.65
Zn  0.5000  0.0000  0.5000  6 Pd 2.57-2.65
Zn  0.5000  0.5000  0.5000  6 Pd 2.57-2.65
Sn  0.1511  0.2500  0.4117  8 Pd 2.68-2.81
Sn  0.3489  0.7500  0.9117  8 Pd 2.68-2.81
Sn  0.6511  0.2500  0.0883  8 Pd 2.68-2.81
Sn  0.8489  0.7500  0.5883  8 Pd 2.68-2.81
Pd  0.1126  0.7500  0.2580  2 Zn 2.65, 2 Sn 2.76-2.81, 4 Pd 2.90-2.91
Pd  0.1586  0.5482  0.6408  2 Zn 2.57-2.61, 3 Sn 2.68-2.72
Pd  0.1586  0.9518  0.6408  2 Zn 2.57-2.61, 3 Sn 2.68-2.72
Pd  0.3414  0.0482  0.1408  2 Zn 2.57-2.61, 3 Sn 2.68-2.72
Pd  0.3414  0.4518  0.1408  2 Zn 2.57-2.61, 3 Sn 2.68-2.72
Pd  0.3874  0.2500  0.7580  2 Zn 2.65, 2 Sn 2.76-2.81, 4 Pd 2.90-2.91
Pd  0.6126  0.7500  0.2420  2 Zn 2.65, 2 Sn 2.76-2.81, 4 Pd 2.90-2.91
Pd  0.6586  0.5482  0.8592  2 Zn 2.57-2.61, 3 Sn 2.68-2.72
Pd  0.6586  0.9518  0.8592  2 Zn 2.57-2.61, 3 Sn 2.68-2.72
Pd  0.8414  0.0482  0.3592  2 Zn 2.57-2.61, 3 Sn 2.68-2.72
Pd  0.8414  0.4518  0.3592  2 Zn 2.57-2.61, 3 Sn 2.68-2.72
Pd  0.8874  0.2500  0.7420  2 Zn 2.65, 2 Sn 2.76-2.81, 4 Pd 2.90-2.91

Entry 4:
First-principles (PBE) data for crystalline ZnSn2Pd9 at its relaxed geometry, as listed in the Alexandria database.

## Properties
- SG: P4/mmm
- Energy: -5.101 eV per atom

abc: 4.0137 4.0137 11.8993
angles: 90.00 90.00 90.00
With the nearest neighbours (Å) after each atom.
Element x y z (fractional)
Zn  0.0000  0.0000  0.0000  12 Pd 2.77-2.84
Sn  0.0000  0.0000  0.3269  12 Pd 2.82-2.88
Sn  0.0000  0.0000  0.6731  12 Pd 2.82-2.88
Pd  0.0000  0.5000  0.1599  8 Pd 2.77-2.86, 2 Zn 2.77, 2 Sn 2.82
Pd  0.0000  0.5000  0.5000  8 Pd 2.84, 4 Sn 2.88
Pd  0.0000  0.5000  0.8401  8 Pd 2.77-2.86, 2 Zn 2.77, 2 Sn 2.82
Pd  0.5000  0.0000  0.1599  8 Pd 2.77-2.86, 2 Zn 2.77, 2 Sn 2.82
Pd  0.5000  0.0000  0.5000  8 Pd 2.84, 4 Sn 2.88
Pd  0.5000  0.0000  0.8401  8 Pd 2.77-2.86, 2 Zn 2.77, 2 Sn 2.82
Pd  0.5000  0.5000  0.0000  8 Pd 2.77, 4 Zn 2.84
Pd  0.5000  0.5000  0.3308  4 Sn 2.84, 8 Pd 2.84-2.86
Pd  0.5000  0.5000  0.6692  4 Sn 2.84, 8 Pd 2.84-2.86

Entry 5:
First-principles (PBE) data for crystalline ZnSn2Pd2 at its relaxed geometry, as listed in the Alexandria database.

## Properties
- Energy above the most stable polymorph in this dataset: 0 meV/atom
- SG: P4/mbm
- Energy: -4.241 eV per atom

abc: 6.9331 6.9331 4.0504
angles: 90.00 90.00 90.00
With the nearest neighbours (Å) after each atom.
Element x y z (fractional)
Zn  0.0000  0.0000  0.0000  4 Pd 2.65
Zn  0.5000  0.5000  0.0000  4 Pd 2.65
Sn  0.1600  0.3400  0.5000  6 Pd 2.76-2.95
Sn  0.3400  0.8400  0.5000  6 Pd 2.76-2.95
Sn  0.6600  0.1600  0.5000  6 Pd 2.76-2.95
Sn  0.8400  0.6600  0.5000  6 Pd 2.76-2.95
Pd  0.1485  0.6485  0.0000  2 Zn 2.65, 6 Sn 2.76-2.95, 1 Pd 2.91
Pd  0.3515  0.1485  0.0000  2 Zn 2.65, 6 Sn 2.76-2.95, 1 Pd 2.91
Pd  0.6485  0.8515  0.0000  2 Zn 2.65, 6 Sn 2.76-2.95, 1 Pd 2.91
Pd  0.8515  0.3515  0.0000  2 Zn 2.65, 6 Sn 2.76-2.95, 1 Pd 2.91

Entry 6:
First-principles (PBE) data for crystalline ZnSn2Pd2 at its relaxed geometry, as listed in the Alexandria database.

## Properties
- Energy above the most stable polymorph in this dataset: 183 meV/atom
- SG: I4/mmm
- Energy: -4.058 eV per atom

abc: 7.3749 7.3749 7.3749
angles: 148.98 148.98 44.44
With the nearest neighbours (Å) after each atom.
Element x y z (fractional)
Zn  0.0000  0.0000  0.0000  8 Sn 3.19
Sn  0.3874  0.3874  0.0000  4 Pd 2.72
Sn  0.6126  0.6126  0.0000  4 Pd 2.72
Pd  0.2500  0.7500  0.5000  4 Sn 2.72, 4 Pd 2.79
Pd  0.7500  0.2500  0.5000  4 Sn 2.72, 4 Pd 2.79

no.,E_form (kJ/mol of formula units)
1,0
2,-222
3,-195
4,-502
5,-148
6,-60